# PuNbVO6

PuNbVO6 after structural relaxation (PBE+U, the Alexandria database).

Lattice parameters (Å, degrees): 5.223 5.223 9.758 90.00 90.00 120.00
Last column: magnetic moment on the atom in μB.
Positions (direct):
1 Pu 0.000 0.000 0.000  4.34
2 Pu 0.000 0.000 0.500  4.34
3 Nb 0.667 0.333 0.250  0.09
4 Nb 0.333 0.667 0.750  0.09
5 V 0.333 0.667 0.250  1.77
6 V 0.667 0.333 0.750  1.77
7 O 0.652 0.650 0.137  -0.05
8 O 0.998 0.348 0.137  -0.05
9 O 0.348 0.998 0.637  -0.05
10 O 0.002 0.652 0.863  -0.05
11 O 0.350 0.348 0.363  -0.05
12 O 0.998 0.650 0.363  -0.05
13 O 0.650 0.998 0.863  -0.05
14 O 0.652 0.002 0.363  -0.05
15 O 0.002 0.350 0.637  -0.05
16 O 0.350 0.002 0.137  -0.05
17 O 0.650 0.652 0.637  -0.05
18 O 0.348 0.350 0.863  -0.05

Theoretical density ... 6.97 Mg/m³
D(E_F) ... 0.829 states/eV per atom
Total energy ... -84.74 eV per formula unit
Magnetic moment ... 6.0 μB/f.u.